Record 1
TbThFe10 | GGA-PBE | relaxed

V: 175 Å³ per cell

Cell and atoms, written as CIF:
```
data_TbThFe10
_chemical_formula_sum 'Tb1 Th1 Fe10'
_cell_length_a 3.9876
_cell_length_b 5.0426
_cell_length_c 8.7198
_cell_angle_alpha 90.00
_cell_angle_beta 90.00
_cell_angle_gamma 90.00
_symmetry_space_group_name_H-M 'P m m m'
_symmetry_Int_Tables_number 47
loop_
_symmetry_equiv_pos_as_xyz
'x,y,z'
'-x,-y,-z'
'-x,-y,z'
'x,y,-z'
'x,-y,-z'
'-x,y,z'
'-x,y,-z'
'x,-y,z'
loop_
_atom_site_label
_atom_site_type_symbol
_atom_site_fract_x
_atom_site_fract_y
_atom_site_fract_z
Tb1 Tb 0.0000 0.0000 0.0000
Th1 Th 0.0000 0.5000 0.5000
Fe1 Fe 0.0000 0.0000 0.3317
Fe2 Fe 0.0000 0.5000 0.1647
Fe3 Fe 0.5000 0.0000 0.5000
Fe4 Fe 0.5000 0.2487 0.2468
Fe5 Fe 0.5000 0.5000 0.0000
```

---

Record 2
TbTh3Fe8 | GGA-PBE | relaxed

V: 602 Å³ per cell

Cell and atoms, written as CIF:
```
data_TbTh3Fe8
_chemical_formula_sum 'Tb3 Th9 Fe24'
_cell_length_a 5.2121
_cell_length_b 5.2121
_cell_length_c 25.5794
_cell_angle_alpha 90.00
_cell_angle_beta 90.00
_cell_angle_gamma 120.00
_symmetry_space_group_name_H-M 'R 3 m'
_symmetry_Int_Tables_number 160
_symmetry_space_group_name_Hall 'R 3 -2"'
loop_
_atom_site_label
_atom_site_type_symbol
_atom_site_fract_x
_atom_site_fract_y
_atom_site_fract_z
Tb1 Tb 0.0000 0.0000 0.0000
Th1 Th 0.0000 0.0000 0.1240
Th2 Th 0.0000 0.0000 0.5003
Th3 Th 0.0000 0.0000 0.6264
Fe1 Fe 0.0000 0.0000 0.3128
Fe2 Fe 0.0000 0.0000 0.8125
Fe3 Fe 0.0002 0.5001 0.5634
Fe4 Fe 0.1671 0.3343 0.3954
```

---

Number 1: E -97.211 eV per cell, energy of formation from the pure elements -0.5 eV/f.u.. Number 2: E -285.734 eV per cell, energy of formation from the pure elements -0.7 eV/f.u..